(1)
{"formula": "PrSm3O7", "functional": "PBE-GGA", "state": "optimized geometry", "dft_energy_ev_per_cell": -85.85, "lattice": [[8.171, 0.000, 0.000], [0.000, 1.806, 5.605], [0.000, -1.806, 5.605]], "species": ["O", "O", "Pr", "Sm", "O", "O", "Sm", "Sm", "O", "O", "O"], "fractional_positions": [[0.500, 0.339, 0.339], [0.745, 0.079, 0.079], [0.000, 0.991, 0.991], [0.259, 0.705, 0.705], [0.500, 0.612, 0.612], [0.906, 0.339, 0.339], [0.741, 0.705, 0.705], [0.500, 0.985, 0.985], [0.094, 0.339, 0.339], [0.255, 0.079, 0.079], [0.000, 0.623, 0.623]]}


(2)
{"formula": "DyNbN2O", "functional": "PBE-GGA", "state": "optimized geometry", "dft_energy_ev_per_cell": -89.97, "lattice": [[2.322, -4.845, -1.622], [3.218, 3.879, 2.470], [-3.569, 0.073, 4.331]], "species": ["N", "Nb", "O", "Dy", "Dy", "Nb", "O", "N", "N", "N"], "fractional_positions": [[0.224, 0.408, 0.682], [0.196, 0.196, 0.000], [0.105, 0.480, 0.126], [0.734, 0.956, 0.278], [0.678, 0.456, 0.722], [0.196, 0.696, 0.500], [0.354, 0.980, 0.874], [0.725, 0.908, 0.683], [0.725, 0.542, 0.318], [0.224, 0.042, 0.317]]}


(3)
{"formula": "Li4HoTcO6", "functional": "PBE-GGA", "state": "optimized geometry", "dft_energy_ev_per_cell": -77.82, "lattice": [[-2.663, -4.607, -0.006], [-2.663, 4.607, -0.006], [1.795, 0.000, -4.846]], "species": ["Li", "O", "O", "Tc", "Ho", "Li", "O", "Li", "Li", "O", "O", "O"], "fractional_positions": [[0.338, 0.662, 0.500], [0.552, 0.909, 0.245], [0.388, 0.062, 0.767], [0.167, 0.833, 0.000], [0.834, 0.166, 0.000], [0.009, 0.991, 0.500], [0.774, 0.745, 0.755], [0.499, 0.501, 0.000], [0.656, 0.344, 0.500], [0.938, 0.612, 0.233], [0.091, 0.448, 0.755], [0.255, 0.226, 0.245]]}